First-principles (GGA-PBE) data for a relaxed structure of PrMgSb, as listed in OQMD via LeMat-Bulk.

```
PrMgSb
1.0
7.4005 0.0000 0.0000
0.0000 7.4005 0.0000
0.0000 0.0000 7.4005
Pr Mg Sb
4 4 4
direct
0.0000 0.0000 0.0000
0.0000 0.5000 0.5000
0.5000 0.0000 0.5000
0.5000 0.5000 0.0000
0.2500 0.2500 0.7500
0.2500 0.7500 0.2500
0.7500 0.2500 0.2500
0.7500 0.7500 0.7500
0.2500 0.2500 0.2500
0.2500 0.7500 0.7500
0.7500 0.2500 0.7500
0.7500 0.7500 0.2500
```

* calculated total energy: -3.72 eV/atom
* E above lowest polymorph: 117 meV/atom